[1]
A relaxed structure of LaVN3, computed with PBE.

The space group is R3m (No. 160, hexagonal axes) and the conventional cell measures 6.5455, 6.5455 and 9.0669 Å, with angles of 90.00, 90.00 and 120.00 degrees. Symmetry generates all atoms from La at (0.0000, 0.0000, 0.0000), V at (0.0000, 0.0000, 0.6687) and N at (0.0638, 0.5319, 0.4277).

The calculation puts the uncorrected formation energy at -29.7 kJ per mole of atoms.



[2]
A relaxed structure of CsBi4Au, computed with PBE.

The space group is C2/m (No. 12) and the conventional cell measures 13.6396, 7.3302 and 9.1014 Å, with angles of 90.00, 102.90 and 90.00 degrees. Symmetry generates all atoms from Cs at (0.2173, 0.0000, 0.3195), Bi at (0.0000, 0.2510, 0.5000), Bi at (0.0718, 0.2216, 0.8694), Bi at (0.2101, 0.5000, 0.1082) and Au at (0.0895, 0.5000, 0.3209).

The calculation puts the density of states at the Fermi level at 12.12 states/eV/cell. Its formation energy is -0.13 eV per atom.



[3]
A relaxed structure of U3Fe6Ge2, computed with PBE.

The space group is Im-3m (No. 229) and the conventional cell measures 8.6357, 8.6357 and 8.6357 Å, with angles of 90.00, 90.00 and 90.00 degrees. Symmetry generates all atoms from U at (0.0000, 0.0000, 0.2835), Fe at (0.0000, 0.3538, 0.3538) and Ge at (0.2500, 0.2500, 0.2500).

The calculation puts the density of states at the Fermi level at 42.36 states/eV/cell. Its formation energy is -0.27 eV per atom.